Compound: MgCrNi
Source: the Alexandria database
Functional: PBE-GGA
Structure: optimized geometry

POSCAR file:
```
MgCrNi
1.0
4.1417 0.0000 0.0000
0.0000 3.0187 0.0000
-2.0491 0.0000 6.6822
Mg Cr Ni
2 2 2
Direct
0.1759 0.0000 0.3528
0.8241 0.0000 0.6472
0.0000 0.5000 0.0000
0.5000 0.0000 0.0000
0.3520 0.5000 0.7036
0.6480 0.5000 0.2964
```

Values from the calculation:
Energy relative to the elements = 0.056 eV/atom
Electronic total energy = -5.61 eV per atom
Spin magnetization = 0.18 μB per formula unit